Material: Ce2ThSbN5
Method: DFT, GGA-PBE
State: optimized geometry

The space group is Cmc2_1 (No. 36) and the conventional cell measures 3.581, 15.363 and 12.154 Å, with angles of 90.00, 90.00 and 90.00 degrees. The distinct sites, in fractional coordinates, are Ce at (0.000, 0.146, 0.000), Ce at (0.000, 0.147, 0.538), Th at (0.000, 0.245, 0.266), Sb at (0.000, 0.496, 0.332), N at (0.000, 0.015, 0.432), N at (0.000, 0.279, 0.908), N at (0.000, 0.296, 0.625), N at (0.000, 0.360, 0.144) and N at (0.000, 0.368, 0.385).

As for the magnetic moment: 0.0 μB per formula unit. The total DFT energy (no corrections) is -8.18 eV per atom.

---

Material: TiNi
Method: DFT, GGA-PBE
State: optimized geometry

The space group is P2_1/m (No. 11) and the conventional cell measures 2.918, 4.042 and 4.785 Å, with angles of 90.00, 102.10 and 90.00 degrees. The distinct sites, in fractional coordinates, are Ti at (0.114, 0.250, 0.285) and Ni at (0.437, 0.250, 0.829).

As for the magnetic moment: 0.0 μB per formula unit. The calculation puts the density of states at the Fermi level at 0.603 states/eV/atom. The total DFT energy (no corrections) is -7.23 eV per atom.